(1)
An optimized crystal structure of Ta2CrCd. Source: the Alexandria database, functional PBE-GGA.

Properties
E_form: 414 meV per atom
final energy: -0.299 Ha/atom
D(E_F): 0.86 states/eV per atom
space-group type: Cmmm (65)

a b c (Å): 5.676 8.542 2.889
angles (deg): 90.00 90.00 90.00
Element x y z (fractional)
Ta: 0.250 0.250 0.000
Ta: 0.250 0.750 0.000
Ta: 0.750 0.250 0.000
Ta: 0.750 0.750 0.000
Cr: 0.000 0.000 0.500
Cr: 0.500 0.500 0.500
Cd: 0.000 0.500 0.500
Cd: 0.500 0.000 0.500

***

(2)
An optimized crystal structure of Ta2CrCd. Source: the Alexandria database, functional PBE-GGA.

Properties
E_form: 339 meV per atom
final energy: -0.302 Ha/atom
D(E_F): 0.67 states/eV per atom
space-group type: R-3m (166)

a b c (Å): 3.026 3.026 26.735
angles (deg): 90.00 90.00 120.00
Element x y z (fractional)
Ta: 0.000 0.000 0.238
Ta: 0.000 0.000 0.762
Ta: 0.333 0.667 0.429
Ta: 0.333 0.667 0.905
Ta: 0.667 0.333 0.095
Ta: 0.667 0.333 0.571
Cr: 0.000 0.000 0.500
Cr: 0.333 0.667 0.167
Cr: 0.667 0.333 0.833
Cd: 0.000 0.000 0.000
Cd: 0.333 0.667 0.667
Cd: 0.667 0.333 0.333

***

(3)
An optimized crystal structure of Ta2CrCd. Source: the Alexandria database, functional PBE-GGA.

Properties
E_form: 188 meV per atom
final energy: -0.308 Ha/atom
D(E_F): 0.47 states/eV per atom
space-group type: P4/mmm (123)

a b c (Å): 3.129 3.129 7.037
angles (deg): 90.00 90.00 90.00
Element x y z (fractional)
Ta: 0.000 0.000 0.208
Ta: 0.000 0.000 0.792
Cr: 0.500 0.500 0.000
Cd: 0.500 0.500 0.500

***

(4)
An optimized crystal structure of Ta2CrCd. Source: the Alexandria database, functional PBE-GGA.

Properties
E_form: 381 meV per atom
final energy: -0.301 Ha/atom
D(E_F): 0.71 states/eV per atom
space-group type: P4/mmm (123)

a b c (Å): 3.997 3.997 4.352
angles (deg): 90.00 90.00 90.00
Element x y z (fractional)
Ta: 0.000 0.500 0.000
Ta: 0.500 0.000 0.000
Cr: 0.000 0.000 0.500
Cd: 0.500 0.500 0.500

***

Number 1: total magnetization 4.490 Bohr magnetons per cell. Number 2: total magnetization 0.000 Bohr magnetons per cell. Number 3: total magnetization 0.000 Bohr magnetons per cell. Number 4: total magnetization 1.997 Bohr magnetons per cell.